Hf2ReOsC PBE-GGA relaxed; space-group type = No. 123; calculated formation energy = 2.020 eV per atom; E_tot = -8.54 eV/atom
1.0
5.005 0.000 0.000
0.000 5.005 0.000
0.000 0.000 4.606
Hf Re Os C
2 1 1 1
direct
0.000 0.500 0.000
0.500 0.000 0.000
0.000 0.000 0.500
0.000 0.000 0.000
0.500 0.500 0.500